1.
VASP calculation (PBE) on a relaxed structure of Nd2HoTh.

Structure (POSCAR):
```
Nd2HoTh
1.0
7.199 0.000 0.000
0.000 6.275 -0.268
-3.600 -1.802 5.992
Nd Ho Th
4 2 2
Direct
0.121 0.749 0.496
0.879 0.251 0.504
0.375 0.249 0.496
0.625 0.751 0.504
0.372 0.250 0.000
0.628 0.750 0.000
0.116 0.750 0.000
0.884 0.250 0.000
```

Summary:
The final energy comes out at -5.334 eV per atom. The space group is No. 15. The calculation puts the formation energy at 5 kJ/mol of atoms. Its calculated volume is 267.22 Å³ per cell. As for the offset from the most stable computed form: 19 meV per atom.

***

2.
VASP calculation (PBE) on a relaxed structure of CaLaRhI.

Structure (POSCAR):
```
CaLaRhI
1.0
4.188 -0.001 0.000
-2.094 3.628 0.000
-2.093 -1.209 8.172
Ca La Rh I
1 1 1 1
Direct
0.504 0.150 0.670
0.091 0.944 0.050
0.311 0.553 0.879
0.972 0.384 0.370
```

Summary:
The final energy comes out at -4.876 eV per atom. The space group is No. 160. Its calculated volume is 124.16 Å³ per cell. The uncorrected formation energy comes out at -0.919 eV per atom.

***

3.
VASP calculation (PBE) on a relaxed structure of ThU2F11.

Structure (POSCAR):
```
ThU2F11
1.0
7.554 0.000 3.938
3.471 7.836 2.556
0.143 -0.081 8.942
Th U F
2 4 22
Direct
0.750 0.750 0.750
0.250 0.250 0.250
0.645 0.681 0.319
0.355 0.319 0.681
0.855 0.181 0.819
0.145 0.819 0.181
0.649 0.707 0.568
0.351 0.293 0.432
0.076 0.568 0.707
0.851 0.932 0.793
0.924 0.432 0.293
0.149 0.068 0.207
0.424 0.793 0.932
0.576 0.207 0.068
0.500 0.500 0.500
0.000 0.000 0.000
0.874 0.781 0.219
0.126 0.219 0.781
0.626 0.281 0.719
0.374 0.719 0.281
0.448 0.971 0.315
0.552 0.029 0.685
0.266 0.315 0.971
0.052 0.185 0.529
0.734 0.685 0.029
0.948 0.815 0.471
0.234 0.529 0.185
0.766 0.471 0.815
```

Summary:
The final energy comes out at -7.374 eV per atom. The space group is No. 72. Its calculated volume is 525.39 Å³ per cell. The uncorrected formation energy comes out at -3.761 eV per atom.

***

Which formula does entry 2 have?
CaLaRhI

***

Number 3 is which compound?
ThU2F11

***

Look up the calculated volume of the second one.
124.16 Å³ per cell